Compound: TbInAg
Source: OQMD via LeMat-Bulk
Functional: PBE-GGA
Structure: relaxed

Structure (CIF):
```
data_TbInAg
_space_group_name_H-M_alt 'F -4 3 m'
_space_group_IT_number 216
_space_group_name_Hall 'F -4 2 3'
_cell_length_a 6.7819
_cell_length_b 6.7819
_cell_length_c 6.7819
_cell_angle_alpha 90.00
_cell_angle_beta 90.00
_cell_angle_gamma 90.00
loop_
_atom_site_label
_atom_site_type_symbol
_atom_site_fract_x
_atom_site_fract_y
_atom_site_fract_z
Tb1 Tb 0.0000 0.0000 0.0000
In1 In 0.0000 0.0000 0.5000
Ag1 Ag 0.2500 0.2500 0.7500
```

## Properties
Total DFT energy (no corrections) ... -3.693 eV per atom
Spin magnetization ... 0.00 μB per formula unit
Theoretical density ... 8.126 g/cm3